A plane-wave DFT calculation with PBE was carried out for an optimized crystal structure of Li2PmHg8.

abc: 4.9920 7.0825 8.5432
angles: 114.46 106.49 90.23
Fractional positions:
1 Li 0.0000 0.0000 0.0000
2 Li 0.2843 0.2811 0.5648
3 Pm 0.6410 0.7140 0.2841
4 Hg 0.0025 0.5880 0.0049
5 Hg 0.1389 0.4053 0.2834
6 Hg 0.2799 0.8664 0.5634
7 Hg 0.4488 0.7602 0.8968
8 Hg 0.4690 0.2568 0.9402
9 Hg 0.6377 0.1558 0.2834
10 Hg 0.8128 0.5995 0.6271
11 Hg 0.8352 0.1479 0.6708

Output
Total DFT energy (no corrections) (eV for the cell shown): -13.7
Formation enthalpy at 0 K (eV per atom): -0.2427